The following is a GGA-PBE calculation of crystalline Ni2IrBr at its relaxed geometry, from the Alexandria database.

Results
As for the space group: No. 123. The total energy comes out at -19.233 eV/cell. For the raw formation energy, the calculation gives 0.72 eV/atom. Its density of states at the Fermi level is 1.527 states/eV per atom.

Unit cell a=2.7830 b=4.5222 c=4.5222 alpha=90.00 beta=90.00 gamma=90.00
Sites, in units of the cell vectors:
Ni: 0.0000 0.0000 0.0000
Br: 0.5000 0.5000 0.0000
Ir: 0.5000 0.0000 0.5000
Ni: 0.0000 0.5000 0.5000

The following is a GGA-PBE calculation of crystalline IOF2 at its relaxed geometry, from the Alexandria database.

Results
As for the space group: No. 225. The total energy comes out at -9.447 eV/cell. For the raw formation energy, the calculation gives 0.20 eV/atom. Its density of states at the Fermi level is 0.569 states/eV per atom.

Unit cell a=4.0743 b=4.0743 c=4.0743 alpha=60.00 beta=60.00 gamma=60.00
Sites, in units of the cell vectors:
F: 0.2500 0.2500 0.2500
O: 0.0000 0.0000 0.0000
I: 0.5000 0.5000 0.5000
F: 0.7500 0.7500 0.7500

The following is a GGA-PBE calculation of crystalline TbThNiOs at its relaxed geometry, from the Alexandria database.

Results
As for the formation energy: -0.29 eV per atom. As for the space group: No. 216. The total energy comes out at -30.206 eV/cell. Its density of states at the Fermi level is 0.883 states/eV per atom.

Unit cell a=4.9225 b=4.9225 c=4.9225 alpha=60.00 beta=60.00 gamma=60.00
Sites, in units of the cell vectors:
Ni: 0.2500 0.2500 0.2500
Tb: 0.0000 0.0000 0.0000
Os: 0.7500 0.7500 0.7500
Th: 0.5000 0.5000 0.5000

The following is a GGA-PBE calculation of crystalline Sc4TcMo at its relaxed geometry, from the Alexandria database.

Results
As for the formation energy: 0.69 eV per atom. As for the space group: No. 216. The total energy comes out at -42.408 eV/cell. Its density of states at the Fermi level is 1.478 states/eV per atom.

Unit cell a=5.4717 b=5.4717 c=5.4717 alpha=60.00 beta=60.00 gamma=60.00
Sites, in units of the cell vectors:
Sc: 0.3750 0.3750 0.8751
Sc: 0.8751 0.3750 0.3750
Sc: 0.3750 0.8751 0.3750
Tc: 0.7500 0.7500 0.7500
Mo: 0.0000 0.0000 0.0000
Sc: 0.3750 0.3750 0.3750

The following is a GGA-PBE calculation of crystalline Cd2ClO at its relaxed geometry, from the Alexandria database.

Results
As for the space group: No. 166. The total energy comes out at -11.389 eV/cell. For the raw formation energy, the calculation gives -0.69 eV/atom. Its density of states at the Fermi level is 0.416 states/eV per atom.

Unit cell a=3.6969 b=3.6969 c=6.7957 alpha=74.22 beta=74.22 gamma=60.00
Sites, in units of the cell vectors:
Cd: 0.2726 0.2726 0.1821
O: 0.0000 0.0000 0.0000
Cl: 0.5000 0.5000 0.5000
Cd: 0.7274 0.7274 0.8179

The following is a GGA-PBE calculation of crystalline PmDyGePt at its relaxed geometry, from the Alexandria database.

Results
As for the formation energy: -1.03 eV per atom. As for the space group: No. 38. The total energy comes out at -24.143 eV/cell. Its density of states at the Fermi level is 0.531 states/eV per atom.

Unit cell a=4.0245 b=4.2788 c=5.8608 alpha=90.00 beta=110.08 gamma=90.00
Sites, in units of the cell vectors:
Pt: 0.4166 0.0000 0.8333
Dy: 0.1392 0.0000 0.2784
Ge: 0.5830 0.5000 0.1661
Pm: 0.8611 0.5000 0.7222

The following is a GGA-PBE calculation of crystalline SbPdO3 at its relaxed geometry, from the Alexandria database.

Results
As for the space group: No. 221. The total energy comes out at -25.408 eV/cell. For the raw formation energy, the calculation gives -0.24 eV/atom. Its density of states at the Fermi level is 0.256 states/eV per atom.

Unit cell a=3.9720 b=3.9720 c=3.9720 alpha=90.00 beta=90.00 gamma=90.00
Sites, in units of the cell vectors:
O: 0.0000 0.0000 0.5000
Pd: 0.0000 0.0000 0.0000
Sb: 0.5000 0.5000 0.5000
O: 0.5000 0.0000 0.0000
O: 0.0000 0.5000 0.0000

The following is a GGA-PBE calculation of crystalline BeFe3I at its relaxed geometry, from the Alexandria database.

Results
As for the space group: No. 221. The total energy comes out at -21.717 eV/cell. For the raw formation energy, the calculation gives 1.79 eV/atom. Its density of states at the Fermi level is 0.638 states/eV per atom.

Unit cell a=4.6077 b=4.6077 c=4.6077 alpha=90.00 beta=90.00 gamma=90.00
Each line ends with the local moment (μB).
Sites, in units of the cell vectors:
Fe: 0.0000 0.5000 0.0000  2.13
Fe: 0.5000 0.0000 0.0000  2.28
I: 0.0000 0.0000 0.0000  -0.07
Be: 0.5000 0.5000 0.5000  -0.09
Fe: 0.0000 0.0000 0.5000  2.10

The following is a GGA-PBE calculation of crystalline BeNbCu2 at its relaxed geometry, from the Alexandria database.

Results
As for the formation energy: -0.03 eV per atom. As for the space group: No. 123. The total energy comes out at -22.089 eV/cell. Its density of states at the Fermi level is 0.527 states/eV per atom.

Unit cell a=2.6980 b=2.6980 c=6.8473 alpha=90.00 beta=90.00 gamma=90.00
Sites, in units of the cell vectors:
Cu: 0.0000 0.0000 0.8036
Nb: 0.5000 0.5000 0.5000
Cu: 0.0000 0.0000 0.1964
Be: 0.5000 0.5000 0.0000

The following is a GGA-PBE calculation of crystalline Tb7Ho2Mg2 at its relaxed geometry, from the Alexandria database.

Results
As for the formation energy: 0.16 eV per atom. As for the space group: No. 12. The total energy comes out at -42.969 eV/cell. Its density of states at the Fermi level is 1.249 states/eV per atom.

Unit cell a=5.6886 b=8.0854 c=8.0854 alpha=86.06 beta=74.01 gamma=74.01
Sites, in units of the cell vectors:
Tb: 0.1850 0.0147 0.6019
Tb: 0.8150 0.9853 0.3981
Ho: 0.5000 0.7791 0.2209
Tb: 0.1850 0.6019 0.0147
Tb: 0.3302 0.2244 0.2244
Tb: 0.6698 0.7756 0.7756
Mg: 0.7844 0.4432 0.4432
Tb: 0.8150 0.3981 0.9853
Mg: 0.2156 0.5568 0.5568
Tb: 0.0000 0.0000 0.0000
Ho: 0.5000 0.2209 0.7791

The following is a GGA-PBE calculation of crystalline Sc7In3 at its relaxed geometry, from the Alexandria database.

Results
As for the formation energy: -0.33 eV per atom. As for the space group: No. 71. The total energy comes out at -55.821 eV/cell. Its density of states at the Fermi level is 1.102 states/eV per atom.

Unit cell a=4.8462 b=6.3192 c=8.5736 alpha=111.63 beta=106.42 gamma=90.00
Each line ends with the local moment (μB).
Sites, in units of the cell vectors:
Sc: 0.6066 0.8577 0.2132  0.31
In: 0.0000 0.0000 0.0000  -0.02
In: 0.8031 0.3033 0.6062  -0.01
Sc: 0.1999 0.1996 0.3999  0.20
Sc: 0.0000 0.5000 0.0000  0.22
Sc: 0.3932 0.6444 0.7865  0.31
Sc: 0.6068 0.3556 0.2135  0.31
Sc: 0.8001 0.8004 0.6001  0.20
In: 0.1969 0.6967 0.3938  -0.01
Sc: 0.3934 0.1423 0.7868  0.31

The following is a GGA-PBE calculation of crystalline RhW2Au at its relaxed geometry, from the Alexandria database.

Results
As for the formation energy: 0.27 eV per atom. As for the space group: No. 119. The total energy comes out at -35.474 eV/cell. Its density of states at the Fermi level is 1.386 states/eV per atom.

Unit cell a=4.8274 b=4.8274 c=4.8274 alpha=130.49 beta=130.49 gamma=72.63
Sites, in units of the cell vectors:
Au: 0.5000 0.5000 0.0000
Rh: 0.2500 0.7500 0.5000
W: 0.7500 0.2500 0.5000
W: 0.0000 0.0000 0.0000